# 1
! Ta2FeAg, optimized geometry, DFT GGA-PBEsol; values from VASP
! * density of states at the Fermi level: 0.928 states/eV per atom
! * formation energy from the elements: 261 meV per atom
! * offset from the most stable computed form: 0.66 eV/f.u.
&SYSTEM
  ibrav = 0, nat = 4, ntyp = 3
/
ATOMIC_SPECIES
Ta 180.95 Ta.upf
Ag 107.87 Ag.upf
Fe 55.84 Fe.upf
CELL_PARAMETERS angstrom
-1.4858 1.8020 -1.5099
-2.7735 0.5852 3.4275
3.2034 3.3532 2.0196
ATOMIC_POSITIONS crystal
Ta 0.0037 0.0000 0.9464
Ta 0.7675 0.5000 0.2703
Ag 0.3723 0.0000 0.4759
Fe 0.3565 0.5000 0.8074

# 2
! Ta2FeAg, optimized geometry, DFT GGA-PBEsol; values from VASP
! * density of states at the Fermi level: 1.085 states/eV per atom
! * formation energy from the elements: 225 meV per atom
! * offset from the most stable computed form: 0.51 eV/f.u.
&SYSTEM
  ibrav = 0, nat = 4, ntyp = 3
/
ATOMIC_SPECIES
Ag 107.87 Ag.upf
Fe 55.84 Fe.upf
Ta 180.95 Ta.upf
CELL_PARAMETERS angstrom
-0.8516 -1.3094 -2.3922
3.5218 -1.1548 -0.6217
-1.0355 -4.7589 2.9736
ATOMIC_POSITIONS crystal
Ag 0.5000 0.5000 0.0000
Fe 0.5000 0.5000 0.5000
Ta 0.0000 0.0000 0.2731
Ta 0.0000 0.0000 0.7269

# 3
! Fe2TcAg, optimized geometry, DFT GGA-PBEsol; values from VASP
! * density of states at the Fermi level: 1.130 states/eV per atom
! * formation energy from the elements: 297 meV per atom
! * offset from the most stable computed form: 0.00 eV/f.u.
&SYSTEM
  ibrav = 0, nat = 4, ntyp = 3
/
ATOMIC_SPECIES
Fe 55.84 Fe.upf
Tc 98.00 Tc.upf
Ag 107.87 Ag.upf
CELL_PARAMETERS angstrom
-2.4270 -0.6399 0.8085
0.8650 -2.3890 0.7059
1.6012 2.6106 6.8731
ATOMIC_POSITIONS crystal
Fe 0.0000 0.0000 0.0306
Fe 0.5000 0.5000 0.2461
Tc 0.0000 0.0000 0.4634
Ag 0.5000 0.5000 0.7599

# 4
! Fe3TcAg, optimized geometry, DFT GGA-PBEsol; values from VASP
! * density of states at the Fermi level: 1.476 states/eV per atom
! * formation energy from the elements: 2167 meV per atom
&SYSTEM
  ibrav = 0, nat = 5, ntyp = 3
/
ATOMIC_SPECIES
Ag 107.87 Ag.upf
Tc 98.00 Tc.upf
Fe 55.84 Fe.upf
CELL_PARAMETERS angstrom
-1.4311 3.4360 -2.5305
-3.8039 0.1824 2.3990
1.9340 2.9014 2.8459
ATOMIC_POSITIONS crystal
Ag 0.0000 0.0000 0.0000
Tc 0.5000 0.5000 0.5000
Fe 0.5000 0.0000 0.0000
Fe 0.0000 0.5000 0.0000
Fe 0.0000 0.0000 0.5000

# 5
! Fe2TcAg, optimized geometry, DFT GGA-PBEsol; values from VASP
! * density of states at the Fermi level: 1.461 states/eV per atom
! * formation energy from the elements: 522 meV per atom
! * offset from the most stable computed form: 0.90 eV/f.u.
&SYSTEM
  ibrav = 0, nat = 4, ntyp = 3
/
ATOMIC_SPECIES
Fe 55.84 Fe.upf
Ag 107.87 Ag.upf
Tc 98.00 Tc.upf
CELL_PARAMETERS angstrom
-3.8959 -0.6039 1.4422
-0.6345 -2.3814 3.3984
-1.1997 1.7729 3.6111
ATOMIC_POSITIONS crystal
Fe 0.7500 0.7500 0.7500
Fe 0.2500 0.2500 0.2500
Ag 0.0000 0.0000 0.0000
Tc 0.5000 0.5000 0.5000

# 6
! Fe2TcAg, optimized geometry, DFT GGA-PBEsol; values from VASP
! * density of states at the Fermi level: 1.232 states/eV per atom
! * formation energy from the elements: 487 meV per atom
! * offset from the most stable computed form: 0.76 eV/f.u.
&SYSTEM
  ibrav = 0, nat = 4, ntyp = 3
/
ATOMIC_SPECIES
Fe 55.84 Fe.upf
Ag 107.87 Ag.upf
Tc 98.00 Tc.upf
CELL_PARAMETERS angstrom
2.8100 0.0000 0.0000
0.0000 4.3592 0.0000
0.0000 0.0000 4.3592
ATOMIC_POSITIONS crystal
Fe 0.0000 0.5000 0.0000
Fe 0.0000 0.0000 0.5000
Ag 0.5000 0.0000 0.0000
Tc 0.5000 0.5000 0.5000

# 7
! FeAgTe, optimized geometry, DFT GGA-PBEsol; values from VASP
! * E_form (uncorrected): 0.671 eV per atom
! * density of states at the Fermi level: 2.161 states/eV per atom
&SYSTEM
  ibrav = 0, nat = 3, ntyp = 3
/
ATOMIC_SPECIES
Ag 107.87 Ag.upf
Fe 55.84 Fe.upf
Te 127.60 Te.upf
CELL_PARAMETERS angstrom
4.4732 0.0000 0.0000
2.2366 3.8739 0.0000
2.2366 1.2913 3.6523
ATOMIC_POSITIONS crystal
Ag 0.2500 0.2500 0.2500
Fe 0.0000 0.0000 0.0000
Te 0.5000 0.5000 0.5000

# 8
! FeAgTe2, optimized geometry, DFT GGA-PBEsol; values from VASP
! * E_form (uncorrected): 0.300 eV per atom
! * density of states at the Fermi level: 0.652 states/eV per atom
&SYSTEM
  ibrav = 0, nat = 4, ntyp = 3
/
ATOMIC_SPECIES
Ag 107.87 Ag.upf
Fe 55.84 Fe.upf
Te 127.60 Te.upf
CELL_PARAMETERS angstrom
-0.2416 -2.8207 -1.5185
-0.1915 -1.5657 2.9388
-7.5234 1.6596 0.3939
ATOMIC_POSITIONS crystal
Ag 0.5000 0.5000 0.5000
Fe 0.5000 0.5000 0.0000
Te 0.1214 0.0000 0.2105
Te 0.8786 0.0000 0.7895

# 9
! FeAgTe2, optimized geometry, DFT GGA-PBEsol; values from VASP
! * E_form (uncorrected): 0.450 eV per atom
! * density of states at the Fermi level: 1.493 states/eV per atom
&SYSTEM
  ibrav = 0, nat = 4, ntyp = 3
/
ATOMIC_SPECIES
Fe 55.84 Fe.upf
Te 127.60 Te.upf
Ag 107.87 Ag.upf
CELL_PARAMETERS angstrom
4.8325 0.0000 0.0000
2.4163 4.1851 0.0000
2.4163 1.3950 3.9457
ATOMIC_POSITIONS crystal
Fe 0.5000 0.5000 0.5000
Te 0.2500 0.2500 0.2500
Te 0.7500 0.7500 0.7500
Ag 0.0000 0.0000 0.0000

# 10
! FeAgW2, optimized geometry, DFT GGA-PBEsol; values from VASP
! * density of states at the Fermi level: 0.755 states/eV per atom
! * formation energy from the elements: 409 meV per atom
! * offset from the most stable computed form: 0.00 eV/f.u.
&SYSTEM
  ibrav = 0, nat = 4, ntyp = 3
/
ATOMIC_SPECIES
Ag 107.87 Ag.upf
W 183.84 W.upf
Fe 55.84 Fe.upf
CELL_PARAMETERS angstrom
-0.9907 -0.8679 2.2875
1.4684 -1.9508 -1.0027
7.0712 3.1367 4.2527
ATOMIC_POSITIONS crystal
Ag 0.5000 0.5000 0.5000
W 0.0000 0.0000 0.2287
W 0.0000 0.0000 0.7713
Fe 0.5000 0.5000 0.0000

# 11
! FeAg4W, optimized geometry, DFT GGA-PBEsol; values from VASP
! * density of states at the Fermi level: 0.944 states/eV per atom
! * formation energy from the elements: 917 meV per atom
&SYSTEM
  ibrav = 0, nat = 6, ntyp = 3
/
ATOMIC_SPECIES
W 183.84 W.upf
Ag 107.87 Ag.upf
Fe 55.84 Fe.upf
CELL_PARAMETERS angstrom
-3.6909 0.2185 -3.6322
1.2144 -0.7758 -4.9787
-1.5360 -4.3307 -2.3977
ATOMIC_POSITIONS crystal
W 0.0000 0.0000 0.0000
Ag 0.6249 0.6249 0.6249
Ag 0.1252 0.6249 0.6249
Ag 0.6249 0.6249 0.1252
Ag 0.6249 0.1252 0.6249
Fe 0.2500 0.2500 0.2500

# 12
! FeAgW2, optimized geometry, DFT GGA-PBEsol; values from VASP
! * density of states at the Fermi level: 0.765 states/eV per atom
! * formation energy from the elements: 522 meV per atom
! * offset from the most stable computed form: 0.45 eV/f.u.
&SYSTEM
  ibrav = 0, nat = 4, ntyp = 3
/
ATOMIC_SPECIES
W 183.84 W.upf
Ag 107.87 Ag.upf
Fe 55.84 Fe.upf
CELL_PARAMETERS angstrom
2.6309 0.0000 0.0000
-1.3154 4.5278 0.0003
0.0000 -0.6187 4.9343
ATOMIC_POSITIONS crystal
W 0.0053 0.0106 0.0081
W 0.2487 0.4975 0.7490
Ag 0.4966 0.9933 0.4909
Fe 0.7493 0.4987 0.2520